A relaxed structure of Y2ErVO6. Source: Alexandria via LeMat-Bulk, functional PBE+U.

POSCAR file:
```
Y2ErVO6
1.0
-0.368 -0.015 5.627
2.210 -4.263 2.957
4.894 0.986 3.150
Y Er V O
2 1 1 6
direct
0.532 0.531 0.405 Y
0.026 0.026 0.922 Y
0.809 0.809 0.573 Er
0.317 0.317 0.050 V
0.594 0.200 0.254 O
0.199 0.953 0.254 O
0.953 0.594 0.254 O
0.431 0.683 0.768 O
0.683 0.118 0.768 O
0.118 0.431 0.768 O
```

Total moment, μB per atom: 0.200
Uncorrected energy, eV/atom: -8.61
DOS at the Fermi energy, states/eV/cell: 0.000
Space group: R3, No. 146
Crystal system: trigonal